1.
The following is a PBE-GGA calculation of a relaxed Sr3RhN3 crystal, from Alexandria via LeMat-Bulk.

Lattice parameters (Å, degrees): 7.7284 7.7284 5.3367 90.00 90.00 120.00
Sites, in units of the cell vectors:
Sr  0.0931  0.3631  0.7500
Sr  0.3631  0.2701  0.2500
Sr  0.9069  0.6369  0.2500
Sr  0.6369  0.7299  0.7500
Sr  0.7299  0.0931  0.2500
Sr  0.2701  0.9069  0.7500
N  0.8940  0.5971  0.7500
N  0.7031  0.1060  0.7500
N  0.2969  0.8940  0.2500
N  0.4029  0.2968  0.7500
N  0.1060  0.4029  0.2500
N  0.5971  0.7032  0.2500
Rh  0.6667  0.3333  0.7500
Rh  0.3333  0.6667  0.2500

Values from the calculation:
Formation energy without anion corrections in eV/atom: -0.47
Fermi-level density of states in states/eV/f.u.: 5.6

***

2.
The following is a PBE-GGA calculation of a relaxed SrRh2N crystal, from Alexandria via LeMat-Bulk.

Lattice parameters (Å, degrees): 5.7315 5.7315 6.5118 63.89 63.89 90.00
Sites, in units of the cell vectors:
Sr  0.0000  0.0000  0.0000
Sr  0.7500  0.2500  0.5000
Rh  0.3744  0.6250  0.2500
Rh  0.3750  0.6244  0.7500
Rh  0.8750  0.6256  0.7500
Rh  0.3756  0.1250  0.2500
N  0.2500  0.7500  0.5000
N  0.5000  0.5000  0.0000

Values from the calculation:
Formation energy without anion corrections in eV/atom: -0.06
Fermi-level density of states in states/eV/f.u.: 2.6

***

3.
The following is a PBE-GGA calculation of a relaxed Sr3RhN crystal, from Alexandria via LeMat-Bulk.

Lattice parameters (Å, degrees): 5.1080 5.1080 5.1080 90.00 90.00 90.00
Sites, in units of the cell vectors:
Sr  0.5000  0.0000  0.0000
Sr  0.0000  0.5000  0.0000
Sr  0.0000  0.0000  0.5000
N  0.0000  0.0000  0.0000
Rh  0.5000  0.5000  0.5000

Values from the calculation:
Formation energy without anion corrections in eV/atom: -0.24
Fermi-level density of states in states/eV/f.u.: 1.4
Energy relative to the lowest polymorph listed for this composition in eV per formula unit: 0.000

***

4.
The following is a PBE-GGA calculation of a relaxed Sr4RhN crystal, from Alexandria via LeMat-Bulk.

Lattice parameters (Å, degrees): 6.3536 8.1369 10.1001 90.00 90.00 129.44
Sites, in units of the cell vectors:
Sr  0.3843  0.2492  0.2500
Sr  0.0005  0.2905  0.5563
Sr  0.9995  0.7095  0.4437
Sr  0.6157  0.7508  0.7500
Sr  0.6180  0.8675  0.2500
Sr  0.0005  0.2905  0.9437
Sr  0.3820  0.1325  0.7500
Sr  0.9995  0.7095  0.0563
N  0.0022  0.8807  0.2500
N  0.9978  0.1193  0.7500
Rh  0.9981  0.6074  0.7500
Rh  0.0019  0.3926  0.2500

Values from the calculation:
Formation energy without anion corrections in eV/atom: -0.25
Fermi-level density of states in states/eV/f.u.: 3.3

***

VASP energy for every record listed, in sequence, given in eV per atom: -5.806 -6.234 -4.382 -3.980.